(1)
LaRePd: relaxed, PBE.

The structure belongs to space group F-43m (No. 216); the cell edges are 6.487, 6.487 and 6.487 Å and the angles 90.00°, 90.00° and 90.00°. The distinct sites, in fractional coordinates, are La at (0.000, 0.000, 0.000), Re at (0.250, 0.250, 0.250) and Pd at (0.000, 0.000, 0.500).

The total magnetic moment comes out at 0.050 μB per formula unit. Its density is 10.501 Mg/m³. The offset from the most stable computed form is 0 meV per atom.

(2)
LaSbPd: relaxed, PBE.

The structure belongs to space group P6_3mc (No. 186); the cell edges are 4.6489, 4.6489 and 8.0903 Å and the angles 90.00°, 90.00° and 120.00°. The distinct sites, in fractional coordinates, are La at (0.0000, 0.0000, 0.0000), Sb at (0.3333, 0.6667, 0.2352) and Pd at (0.3333, 0.6667, 0.7840).

The total magnetic moment comes out at 0.001 μB per formula unit. Its density is 8.051 Mg/m³. The total energy comes out at -5.894 eV/atom.

(3)
LaSb2Pd4: relaxed, PBE.

The structure belongs to space group P4_2/mnm (No. 136); the cell edges are 8.052, 8.052 and 4.345 Å and the angles 90.00°, 90.00° and 90.00°. The distinct sites, in fractional coordinates, are La at (0.000, 0.000, 0.000), Sb at (0.218, 0.218, 0.500) and Pd at (0.095, 0.648, 0.500).

The total magnetic moment comes out at 0.016 μB per formula unit. Its density is 9.525 Mg/m³. The total energy comes out at -5.589 eV/atom.

(4)
LaSb2Pd: relaxed, PBE.

The structure belongs to space group P4/nmm (No. 129, origin choice 2); the cell edges are 4.520, 4.520 and 10.078 Å and the angles 90.00°, 90.00° and 90.00°. The distinct sites, in fractional coordinates, are La at (0.250, 0.250, 0.248), Sb at (0.250, 0.250, 0.849), Sb at (0.250, 0.750, 0.500) and Pd at (0.250, 0.750, 0.000).

The total magnetic moment comes out at 0.003 μB per formula unit. Its density is 7.886 Mg/m³. The total energy comes out at -5.483 eV/atom.

(5)
LaSbPd: relaxed, PBE.

The structure belongs to space group P-62m (No. 189); the cell edges are 7.6629, 7.6629 and 4.3633 Å and the angles 90.00°, 90.00° and 120.00°. The distinct sites, in fractional coordinates, are La at (0.0000, 0.6091, 0.0000), Sb at (0.0000, 0.2732, 0.5000), Pd at (0.0000, 0.0000, 0.0000) and Pd at (0.3333, 0.6667, 0.5000).

The total magnetic moment comes out at 0.002 μB per formula unit. Its density is 8.241 Mg/m³. The total energy comes out at -5.739 eV/atom.

(6)
LaSbPd: relaxed, PBE.

The structure belongs to space group P6_3/mmc (No. 194); the cell edges are 4.6389, 4.6389 and 8.2095 Å and the angles 90.00°, 90.00° and 120.00°. The distinct sites, in fractional coordinates, are La at (0.0000, 0.0000, 0.0000), Sb at (0.3333, 0.6667, 0.2500) and Pd at (0.3333, 0.6667, 0.7500).

The total magnetic moment comes out at 0.001 μB per formula unit. Its density is 7.968 Mg/m³. The total energy comes out at -5.891 eV/atom.

(7)
LaSb2Pd: relaxed, PBE.

The structure belongs to space group P4/nmm (No. 129, origin choice 2); the cell edges are 4.532, 4.532 and 10.045 Å and the angles 90.00°, 90.00° and 90.00°. The distinct sites, in fractional coordinates, are La at (0.250, 0.250, 0.247), Sb at (0.250, 0.250, 0.850), Sb at (0.250, 0.750, 0.500) and Pd at (0.250, 0.750, 0.000).

The total magnetic moment comes out at 0.010 μB per formula unit. Its density is 7.869 Mg/m³. The total energy comes out at -5.483 eV/atom.

(8)
LaScPd: relaxed, PBE.

The structure belongs to space group F-43m (No. 216); the cell edges are 6.895, 6.895 and 6.895 Å and the angles 90.00°, 90.00° and 90.00°. The distinct sites, in fractional coordinates, are La at (0.000, 0.000, 0.000), Sc at (0.000, 0.000, 0.500) and Pd at (0.250, 0.250, 0.250).

The total magnetic moment comes out at 0.007 μB per formula unit. Its density is 5.882 Mg/m³. The offset from the most stable computed form is 0 meV per atom.

(9)
LaSi2Pd5: relaxed, PBE.

The structure belongs to space group Immm (No. 71); the cell edges are 3.966, 7.070 and 9.793 Å and the angles 90.00°, 90.00° and 90.00°. The distinct sites, in fractional coordinates, are La at (0.000, 0.000, 0.000), Si at (0.000, 0.500, 0.243), Pd at (0.000, 0.195, 0.347) and Pd at (0.000, 0.500, 0.000).

The total magnetic moment comes out at 0.000 μB per formula unit. Its density is 8.795 Mg/m³. The total energy comes out at -6.019 eV/atom.

(10)
LaSm2Si4Pd4: relaxed, PBE.

The structure belongs to space group Immm (No. 71); the cell edges are 4.178, 4.275 and 24.399 Å and the angles 90.00°, 90.00° and 90.00°. The distinct sites, in fractional coordinates, are La at (0.000, 0.000, 0.000), Sm at (0.000, 0.500, 0.147), Si at (0.000, 0.000, 0.450), Si at (0.000, 0.500, 0.303), Pd at (0.000, 0.000, 0.249) and Pd at (0.000, 0.500, 0.402).

The total magnetic moment comes out at 0.019 μB per formula unit. Its density is 7.451 Mg/m³. The total energy comes out at -6.106 eV/atom.

(11)
La2SmSi4Pd4: relaxed, PBE.

The structure belongs to space group Immm (No. 71); the cell edges are 4.166, 4.273 and 24.858 Å and the angles 90.00°, 90.00° and 90.00°. The distinct sites, in fractional coordinates, are La at (0.000, 0.000, 0.146), Sm at (0.000, 0.500, 0.000), Si at (0.000, 0.000, 0.303), Si at (0.000, 0.500, 0.453), Pd at (0.000, 0.000, 0.404) and Pd at (0.000, 0.500, 0.249).

The total magnetic moment comes out at 0.016 μB per formula unit. Its density is 7.251 Mg/m³. The total energy comes out at -6.126 eV/atom.

(12)
La2SmZn2Si4Pd2: relaxed, PBE.

The structure belongs to space group Immm (No. 71); the cell edges are 4.195, 4.275 and 24.711 Å and the angles 90.00°, 90.00° and 90.00°. The distinct sites, in fractional coordinates, are La at (0.000, 0.000, 0.147), Sm at (0.000, 0.500, 0.500), Zn at (0.000, 0.000, 0.404), Si at (0.000, 0.000, 0.304), Si at (0.000, 0.500, 0.048) and Pd at (0.000, 0.500, 0.250).

The total magnetic moment comes out at 0.007 μB per formula unit. Its density is 6.628 Mg/m³. The offset from the most stable computed form is 25 meV per atom.

(13)
La2SmZn2Si4Pd2: relaxed, PBE.

The structure belongs to space group Immm (No. 71); the cell edges are 4.148, 4.257 and 25.271 Å and the angles 90.00°, 90.00° and 90.00°. The distinct sites, in fractional coordinates, are La at (0.000, 0.000, 0.147), Sm at (0.000, 0.500, 0.000), Zn at (0.000, 0.500, 0.250), Si at (0.000, 0.000, 0.309), Si at (0.000, 0.500, 0.453) and Pd at (0.000, 0.000, 0.406).

The total magnetic moment comes out at 0.003 μB per formula unit. Its density is 6.580 Mg/m³. The offset from the most stable computed form is 0 meV per atom.

(14)
LaSi2TcPd: relaxed, PBE.

The structure belongs to space group I-4m2 (No. 119); the cell edges are 4.221, 4.221 and 10.201 Å and the angles 90.00°, 90.00° and 90.00°. The distinct sites, in fractional coordinates, are La at (0.000, 0.000, 0.000), Si at (0.000, 0.000, 0.373), Tc at (0.000, 0.500, 0.750) and Pd at (0.000, 0.500, 0.250).

The total magnetic moment comes out at 0.008 μB per formula unit. Its density is 7.300 Mg/m³. The total energy comes out at -7.064 eV/atom.

(15)
La3Zn2Si4Pd2: relaxed, PBE.

The structure belongs to space group Immm (No. 71); the cell edges are 4.228, 4.336 and 24.672 Å and the angles 90.00°, 90.00° and 90.00°. The distinct sites, in fractional coordinates, are La at (0.000, 0.000, 0.000), La at (0.000, 0.500, 0.352), Zn at (0.000, 0.500, 0.097), Si at (0.000, 0.000, 0.452), Si at (0.000, 0.500, 0.197) and Pd at (0.000, 0.000, 0.250).

The total magnetic moment comes out at 0.000 μB per formula unit. Its density is 6.407 Mg/m³. The offset from the most stable computed form is 17 meV per atom.

(16)
La3Zn2Si4Pd2: relaxed, PBE.

The structure belongs to space group Immm (No. 71); the cell edges are 4.200, 4.290 and 25.283 Å and the angles 90.00°, 90.00° and 90.00°. The distinct sites, in fractional coordinates, are La at (0.000, 0.000, 0.000), La at (0.000, 0.500, 0.147), Zn at (0.000, 0.000, 0.250), Si at (0.000, 0.000, 0.452), Si at (0.000, 0.500, 0.308) and Pd at (0.000, 0.500, 0.405).

The total magnetic moment comes out at 0.002 μB per formula unit. Its density is 6.362 Mg/m³. The offset from the most stable computed form is 0 meV per atom.

(17)
LaSmSn2Pd4: relaxed, PBE.

The structure belongs to space group P-6m2 (No. 187); the cell edges are 4.6549, 4.6549 and 9.2158 Å and the angles 90.00°, 90.00° and 120.00°. The distinct sites, in fractional coordinates, are La at (0.0000, 0.0000, 0.0000), Sm at (0.6667, 0.3333, 0.5000), Sn at (0.3333, 0.6667, 0.2591), Pd at (0.0000, 0.0000, 0.3354) and Pd at (0.6667, 0.3333, 0.1724).

The total magnetic moment comes out at 0.006 μB per formula unit. Its density is 9.145 Mg/m³. The total energy comes out at -5.653 eV/atom.

(18)
LaSnPd: relaxed, PBE.

The structure belongs to space group P-62m (No. 189); the cell edges are 7.6429, 7.6429 and 4.2442 Å and the angles 90.00°, 90.00° and 120.00°. The distinct sites, in fractional coordinates, are La at (0.0000, 0.5825, 0.0000), Sn at (0.0000, 0.2474, 0.5000), Pd at (0.0000, 0.0000, 0.0000) and Pd at (0.3333, 0.6667, 0.5000).

The total magnetic moment comes out at 0.000 μB per formula unit. Its density is 8.446 Mg/m³. The total energy comes out at -5.651 eV/atom.

(19)
LaSnPd: relaxed, PBE.

The structure belongs to space group P-62m (No. 189); the cell edges are 7.3496, 7.3496 and 4.6917 Å and the angles 90.00°, 90.00° and 120.00°. The distinct sites, in fractional coordinates, are La at (0.0000, 0.5677, 0.0000), Sn at (0.0000, 0.0000, 0.0000), Sn at (0.3333, 0.6667, 0.5000) and Pd at (0.0000, 0.2356, 0.5000).

The total magnetic moment comes out at 0.001 μB per formula unit. Its density is 8.263 Mg/m³. The total energy comes out at -5.483 eV/atom.

(20)
LaSnPd: relaxed, PBE.

The structure belongs to space group P-62m (No. 189); the cell edges are 8.5502, 8.5502 and 3.5169 Å and the angles 90.00°, 90.00° and 120.00°. The distinct sites, in fractional coordinates, are La at (0.0000, 0.2971, 0.0000), Sn at (0.0000, 0.0000, 0.5000), Sn at (0.3333, 0.6667, 0.0000) and Pd at (0.0000, 0.6419, 0.5000).

The total magnetic moment comes out at 0.004 μB per formula unit. Its density is 8.145 Mg/m³. The total energy comes out at -5.124 eV/atom.

(21)
La2TlSnPd4: relaxed, PBE.

The structure belongs to space group P-3m1 (No. 164); the cell edges are 4.7164, 4.7164 and 9.2521 Å and the angles 90.00°, 90.00° and 120.00°. The distinct sites, in fractional coordinates, are La at (0.3333, 0.6667, 0.2492), Tl at (0.0000, 0.0000, 0.5000), Sn at (0.0000, 0.0000, 0.0000), Pd at (0.3333, 0.6667, 0.5870) and Pd at (0.3333, 0.6667, 0.9164).

The total magnetic moment comes out at 0.004 μB per formula unit. Its density is 9.564 Mg/m³. The total energy comes out at -5.374 eV/atom.

(22)
LaTbPd: relaxed, PBE.

The structure belongs to space group F-43m (No. 216); the cell edges are 7.084, 7.084 and 7.084 Å and the angles 90.00°, 90.00° and 90.00°. The distinct sites, in fractional coordinates, are La at (0.000, 0.000, 0.000), Tb at (0.000, 0.000, 0.500) and Pd at (0.250, 0.250, 0.250).

The total magnetic moment comes out at 0.007 μB per formula unit. Its density is 7.553 Mg/m³. The total energy comes out at -5.321 eV/atom.

(23)
LaTbTl2Pd4: relaxed, PBE.

The structure belongs to space group P-6m2 (No. 187); the cell edges are 4.7095, 4.7095 and 9.0273 Å and the angles 90.00°, 90.00° and 120.00°. The distinct sites, in fractional coordinates, are La at (0.0000, 0.0000, 0.0000), Tb at (0.6667, 0.3333, 0.5000), Tl at (0.3333, 0.6667, 0.2601), Pd at (0.0000, 0.0000, 0.3427) and Pd at (0.6667, 0.3333, 0.1685).

The total magnetic moment comes out at 0.010 μB per formula unit. Its density is 10.843 Mg/m³. The total energy comes out at -5.031 eV/atom.

(24)
La2Tl8Pd: relaxed, PBE.

The structure belongs to space group P4/mmm (No. 123); the cell edges are 4.906, 4.906 and 12.742 Å and the angles 90.00°, 90.00° and 90.00°. The distinct sites, in fractional coordinates, are La at (0.000, 0.000, 0.193), Tl at (0.000, 0.500, 0.000), Tl at (0.000, 0.500, 0.376), Tl at (0.500, 0.500, 0.186) and Pd at (0.000, 0.000, 0.500).

The total magnetic moment comes out at 0.004 μB per formula unit. Its density is 10.933 Mg/m³. The total energy comes out at -3.389 eV/atom.